one) Below is crystalline Pr3BiO6 at its relaxed geometry, with properties calculated at the PBE level.

a = 7.1054 Å, b = 7.1054 Å, c = 7.1054 Å
α = 91.73°, β = 91.73°, γ = 91.73°
Fractional coordinates of all 20 atoms:
O 0.6835 0.0981 0.9312
O 0.0981 0.9312 0.6835
O 0.6032 0.8187 0.4718
O 0.9019 0.0688 0.3165
O 0.3165 0.9019 0.0688
O 0.5282 0.3968 0.1813
O 0.1813 0.5282 0.3968
O 0.4718 0.6032 0.8187
O 0.3968 0.1813 0.5282
O 0.8187 0.4718 0.6032
O 0.0688 0.3165 0.9019
O 0.9312 0.6835 0.0981
Pr 0.4442 0.9356 0.7480
Pr 0.5558 0.0644 0.2520
Pr 0.2520 0.5558 0.0644
Pr 0.0644 0.2520 0.5558
Pr 0.9356 0.7480 0.4442
Pr 0.7480 0.4442 0.9356
Bi 0.0000 0.0000 0.0000
Bi 0.5000 0.5000 0.5000

For the density of states at the Fermi level, the calculation gives 0.000 states/eV/cell. The calculation puts the magnetic moment at 0.000 μB per formula unit.


two) Below is crystalline Pr3BiO6 at its relaxed geometry, with properties calculated at the PBE level.

a = 6.0386 Å, b = 7.5725 Å, c = 7.5725 Å
α = 103.09°, β = 90.00°, γ = 90.00°
Fractional coordinates of all 20 atoms:
O 0.7330 0.9790 0.0210
O 0.6073 0.2225 0.7775
O 0.2330 0.0210 0.9790
O 0.1851 0.4240 0.8999
O 0.6851 0.5760 0.1001
O 0.6992 0.6466 0.6769
O 0.6992 0.3231 0.3534
O 0.6851 0.8999 0.4240
O 0.1992 0.6769 0.6466
O 0.1073 0.7775 0.2225
O 0.1851 0.1001 0.5760
O 0.1992 0.3534 0.3231
Pr 0.4286 0.3996 0.6004
Pr 0.4768 0.3028 0.0894
Pr 0.9768 0.6972 0.9106
Pr 0.9768 0.0894 0.3028
Pr 0.4768 0.9106 0.6972
Pr 0.9286 0.6004 0.3996
Bi 0.9943 0.1737 0.8263
Bi 0.4943 0.8263 0.1737

For the density of states at the Fermi level, the calculation gives 0.000 states/eV/cell. The calculation puts the magnetic moment at 0.000 μB per formula unit.


two) is the least stable structure shown above.